1.
The following is a PBE calculation of crystalline Cd2RePt at its relaxed geometry, from Alexandria.

Output
crystal system: tetragonal
volume: 19.509 Å³/atom
relative energy among the computed polymorphs: 2.89 eV/f.u.
energy: -67.731 eV/cell
formation energy from the elements: 0.85 eV per atom

Lattice parameters (Å, degrees): 7.6258 7.6258 5.3677 90.00 90.00 90.00
Closest atoms and distances in Å follow each position.
Space group I-42d (No. 122)
Asymmetric unit:
Cd: 0.2417 0.2500 0.1250 (multiplicity 8)  2 Cd 2.69, 2 Pt 2.74, 2 Re 2.82
Re: 0.0000 0.0000 0.5000 (multiplicity 4)  2 Pt 2.68, 4 Cd 2.82
Pt: 0.0000 0.0000 0.0000 (multiplicity 4)  2 Re 2.68, 4 Cd 2.74

=====

2.
The following is a PBE calculation of crystalline Cd2RePt2 at its relaxed geometry, from Alexandria.

Output
crystal system: tetragonal
volume: 19.745 Å³/atom
relative energy among the computed polymorphs: 1.78 eV/f.u.
energy: -44.715 eV/cell
formation energy from the elements: 0.80 eV per atom

Lattice parameters (Å, degrees): 3.6671 3.6671 14.6832 90.00 90.00 90.00
Closest atoms and distances in Å follow each position.
Space group I4/mmm (No. 139)
Asymmetric unit:
Cd: 0.0000 0.0000 0.1011 (multiplicity 4)  4 Pt 2.85, 1 Cd 2.97, 4 Re 2.99
Re: 0.0000 0.0000 0.5000 (multiplicity 2)  8 Cd 2.99
Pt: 0.0000 0.5000 0.2500 (multiplicity 4)  4 Pt 2.59, 4 Cd 2.85

=====

3.
The following is a PBE calculation of crystalline CdRe3Pt at its relaxed geometry, from Alexandria.

Output
crystal system: cubic
volume: 21.889 Å³/atom
relative energy among the computed polymorphs: 0.00 eV/f.u.
energy: -32.635 eV/cell
formation energy from the elements: 2.33 eV per atom

Lattice parameters (Å, degrees): 4.7833 4.7833 4.7833 90.00 90.00 90.00
Closest atoms and distances in Å follow each position.
Space group Pm-3m (No. 221)
Asymmetric unit:
Cd: 0.0000 0.0000 0.0000 (multiplicity 1)  12 Re 3.38
Re: 0.0000 0.5000 0.5000 (multiplicity 3)  2 Pt 2.39
Pt: 0.5000 0.5000 0.5000 (multiplicity 1)  6 Re 2.39

=====

4.
The following is a PBE calculation of crystalline Cd2RePt at its relaxed geometry, from Alexandria.

Output
crystal system: monoclinic
volume: 17.527 Å³/atom
relative energy among the computed polymorphs: 0.68 eV/f.u.
energy: -38.274 eV/cell
formation energy from the elements: 0.30 eV per atom

Lattice parameters (Å, degrees): 9.5639 2.8067 5.2933 90.00 99.31 90.00
Closest atoms and distances in Å follow each position.
Space group Cm (No. 8)
Asymmetric unit:
Cd: 0.0000 0.0000 0.0000 (multiplicity 2)  5 Cd 2.80-2.97, 4 Pt 2.88-3.11, 3 Re 2.96-2.98
Cd: 0.2391 0.0000 0.7559 (multiplicity 2)  5 Cd 2.80-2.97, 4 Re 2.93-3.07, 3 Pt 2.98-3.00
Re: 0.2517 0.5000 0.2744 (multiplicity 2)  3 Pt 2.71-2.90, 2 Re 2.81, 5 Cd 2.93-2.98
Pt: 0.4863 0.0000 0.4714 (multiplicity 2)  3 Re 2.71-2.90, 2 Pt 2.81, 5 Cd 2.88-3.00

=====

5.
The following is a PBE calculation of crystalline CdRePt at its relaxed geometry, from Alexandria.

Output
crystal system: trigonal
volume: 16.601 Å³/atom
relative energy among the computed polymorphs: 0.13 eV/f.u.
energy: -18.894 eV/cell
formation energy from the elements: 0.17 eV per atom

Lattice parameters (Å, degrees): 2.8454 2.8454 7.1033 90.00 90.00 120.00
Closest atoms and distances in Å follow each position.
Space group P3m1 (No. 156)
Asymmetric unit:
Cd: 0.0000 0.0000 0.0000 (multiplicity 1)  6 Cd 2.85, 3 Pt 2.96, 3 Re 2.99
Re: 0.3333 0.6667 0.6478 (multiplicity 1)  3 Pt 2.70, 6 Re 2.85, 3 Cd 2.99
Pt: 0.6667 0.3333 0.3466 (multiplicity 1)  3 Re 2.70, 6 Pt 2.85, 3 Cd 2.96

=====

6.
The following is a PBE calculation of crystalline Cd2RePt at its relaxed geometry, from Alexandria.

Output
crystal system: orthorhombic
volume: 18.684 Å³/atom
relative energy among the computed polymorphs: 0.77 eV/f.u.
energy: -38.097 eV/cell
formation energy from the elements: 0.32 eV per atom

Lattice parameters (Å, degrees): 2.7854 4.9433 10.8554 90.00 90.00 90.00
Closest atoms and distances in Å follow each position.
Space group Imm2 (No. 44)
Asymmetric unit:
Cd: 0.0000 0.0000 0.0000 (multiplicity 2)  2 Cd 2.79, 4 Pt 2.89, 2 Re 3.00
Cd: 0.0000 0.5000 0.1998 (multiplicity 2)  2 Cd 2.79, 4 Re 2.88, 2 Pt 3.07
Re: 0.0000 0.5000 0.7448 (multiplicity 2)  2 Pt 2.61, 2 Re 2.79, 4 Cd 2.88
Pt: 0.0000 0.0000 0.4479 (multiplicity 2)  2 Re 2.61, 2 Pt 2.79, 4 Cd 2.89

=====

7.
The following is a PBE calculation of crystalline Cd2RePt at its relaxed geometry, from Alexandria.

Output
crystal system: orthorhombic
volume: 17.376 Å³/atom
relative energy among the computed polymorphs: 0.69 eV/f.u.
energy: -38.255 eV/cell
formation energy from the elements: 0.30 eV per atom

Lattice parameters (Å, degrees): 3.4567 4.4292 9.0791 90.00 90.00 90.00
Closest atoms and distances in Å follow each position.
Space group Cmmm (No. 65)
Asymmetric unit:
Cd: 0.0000 0.0000 0.2443 (multiplicity 4)  4 Cd 2.81, 4 Pt 2.81-3.13, 2 Re 2.89
Re: 0.0000 0.5000 0.5000 (multiplicity 2)  4 Re 2.81, 4 Cd 2.89
Pt: 0.0000 0.5000 0.0000 (multiplicity 2)  4 Pt 2.81, 8 Cd 2.81-3.13

=====

8.
The following is a PBE calculation of crystalline CdRePt6 at its relaxed geometry, from Alexandria.

Output
crystal system: tetragonal
volume: 15.928 Å³/atom
energy: -50.726 eV/cell
formation energy from the elements: -0.14 eV per atom

Lattice parameters (Å, degrees): 3.9853 3.9853 8.0230 90.00 90.00 90.00
Closest atoms and distances in Å follow each position.
Space group P4/mmm (No. 123)
Asymmetric unit:
Cd: 0.0000 0.0000 0.0000 (multiplicity 1)  12 Pt 2.82-2.91
Re: 0.0000 0.0000 0.5000 (multiplicity 1)  12 Pt 2.75-2.82
Pt: 0.0000 0.5000 0.2635 (multiplicity 4)  8 Pt 2.75-2.91, 2 Re 2.75, 2 Cd 2.91
Pt: 0.5000 0.5000 0.0000 (multiplicity 1)  4 Cd 2.82, 8 Pt 2.91
Pt: 0.5000 0.5000 0.5000 (multiplicity 1)  8 Pt 2.75, 4 Re 2.82

=====

9.
The following is a PBE calculation of crystalline Cd2RePt at its relaxed geometry, from Alexandria.

Output
crystal system: monoclinic
volume: 17.502 Å³/atom
relative energy among the computed polymorphs: 0.94 eV/f.u.
energy: -37.769 eV/cell
formation energy from the elements: 0.36 eV per atom

Lattice parameters (Å, degrees): 11.0983 2.8350 4.9741 90.00 116.53 90.00
Closest atoms and distances in Å follow each position.
Space group C2/m (No. 12)
Asymmetric unit:
Cd: 0.2448 0.0000 0.2447 (multiplicity 4)  2 Pt 2.81, 6 Cd 2.84-2.87, 2 Re 2.90
Re: 0.0000 0.0000 0.5000 (multiplicity 2)  2 Re 2.84, 4 Pt 2.86, 4 Cd 2.90
Pt: 0.0000 0.5000 0.0000 (multiplicity 2)  4 Cd 2.81, 2 Pt 2.84, 4 Re 2.86

=====

10.
The following is a PBE calculation of crystalline Cd2RePt at its relaxed geometry, from Alexandria.

Output
crystal system: tetragonal
volume: 17.572 Å³/atom
relative energy among the computed polymorphs: 1.43 eV/f.u.
energy: -18.392 eV/cell
formation energy from the elements: 0.48 eV per atom

Lattice parameters (Å, degrees): 4.9390 4.9390 2.8814 90.00 90.00 90.00
Closest atoms and distances in Å follow each position.
Space group P4/mmm (No. 123)
Asymmetric unit:
Cd: 0.0000 0.5000 0.0000 (multiplicity 2)  4 Re 2.86, 4 Pt 2.86, 2 Cd 2.88
Re: 0.0000 0.0000 0.5000 (multiplicity 1)  8 Cd 2.86, 2 Re 2.88
Pt: 0.5000 0.5000 0.5000 (multiplicity 1)  8 Cd 2.86, 2 Pt 2.88

=====

11.
The following is a PBE calculation of crystalline CdRePtS2 at its relaxed geometry, from Alexandria.

Output
crystal system: tetragonal
volume: 21.956 Å³/atom
energy: -24.237 eV/cell

Lattice parameters (Å, degrees): 4.4277 4.4277 5.5999 90.00 90.00 90.00
Closest atoms and distances in Å follow each position.
Space group P4/mmm (No. 123)
Asymmetric unit:
Cd: 0.0000 0.0000 0.0000 (multiplicity 1)  2 Re 2.80, 4 Pt 3.13
Re: 0.0000 0.0000 0.5000 (multiplicity 1)  4 S 2.21
Pt: 0.5000 0.5000 0.0000 (multiplicity 1)  4 Cd 3.13
S: 0.0000 0.5000 0.5000 (multiplicity 2)  2 Re 2.21

=====

12.
The following is a PBE calculation of crystalline Cd2ReSbPt at its relaxed geometry, from Alexandria.

Output
crystal system: tetragonal
volume: 25.602 Å³/atom
energy: -19.855 eV/cell

Lattice parameters (Å, degrees): 5.1093 5.1093 4.9038 90.00 90.00 90.00
Closest atoms and distances in Å follow each position.
Space group P4/mmm (No. 123)
Asymmetric unit:
Cd: 0.0000 0.5000 0.0000 (multiplicity 2)  2 Pt 2.55
Re: 0.0000 0.0000 0.5000 (multiplicity 1)  2 Pt 2.45
Sb: 0.5000 0.5000 0.5000 (multiplicity 1)  8 Cd 3.54, 4 Re 3.61
Pt: 0.0000 0.0000 0.0000 (multiplicity 1)  2 Re 2.45, 4 Cd 2.55